The following is a DFT calculation (GGA-PBEsol) of a relaxed structure of KCr2Mo.

CIF file:
```
data_KCr2Mo
_chemical_formula_sum 'K1 Cr2 Mo1'
_cell_length_a 9.649
_cell_length_b 9.649
_cell_length_c 9.649
_cell_angle_alpha 17.50
_cell_angle_beta 17.50
_cell_angle_gamma 17.50
_space_group_name_H-M_alt 'P 1'
_space_group_IT_number 1
loop_
_space_group_symop_operation_xyz
'x,y,z'
loop_
_atom_site_label
_atom_site_type_symbol
_atom_site_fract_x
_atom_site_fract_y
_atom_site_fract_z
K1 K 0.000 0.000 0.000
Cr1 Cr 0.229 0.229 0.229
Cr2 Cr 0.771 0.771 0.771
Mo1 Mo 0.500 0.500 0.500
```

final energy = -7.237 eV per atom
space-group type = R-3m (166)
DFT formation energy = 25.59 kcal/mol of atoms